[1]
Computed, not measured: Pm2ScCd2 after structural relaxation at the PBE level of DFT.

Its energy above the most stable polymorph in this dataset is 0.075 eV per atom. The value obtained for the raw total energy is -3.6644 eV/atom. The energy of formation comes out at -64 kJ/mol of formula units.

Unit cell a=3.7907 b=6.5703 c=6.5703 alpha=67.13 beta=73.23 gamma=73.23
Closest atoms and distances in Å follow each position.
Element x y z (fractional)
Pm (0.2260, 0.2740, 0.2740)  6 Cd 3.33-3.56, 2 Sc 3.39
Pm (0.7740, 0.7260, 0.7260)  6 Cd 3.33-3.56, 2 Sc 3.39
Sc (0.0000, 0.0000, 0.0000)  4 Cd 2.89
Cd (0.5000, 0.3003, 0.6997)  2 Sc 2.89, 1 Cd 2.90
Cd (0.5000, 0.6997, 0.3003)  2 Sc 2.89, 1 Cd 2.90

***

[2]
Computed, not measured: Zr3TiSi after structural relaxation at the PBE level of DFT.

Its energy above the most stable polymorph in this dataset is 0.000 eV per atom. The value obtained for the raw total energy is -7.4589 eV/atom. For the formation energy from raw total energies, the calculation gives 334 meV per atom.

Unit cell a=4.9517 b=4.9517 c=4.9517 alpha=90.00 beta=90.00 gamma=90.00
Closest atoms and distances in Å follow each position.
Element x y z (fractional)
Si (0.0000, 0.0000, 0.0000)  6 Zr 2.48
Zr (0.0000, 0.5000, 0.0000)  2 Si 2.48
Zr (0.0000, 0.0000, 0.5000)  2 Si 2.48
Zr (0.5000, 0.0000, 0.0000)  2 Si 2.48
Ti (0.5000, 0.5000, 0.5000)  12 Zr 3.50

***

[3]
Computed, not measured: K2Tl4InHg3 after structural relaxation at the PBE level of DFT.

The value obtained for the raw total energy is -1.6302 eV/atom. The energy of formation comes out at -96 kJ/mol of formula units.

Unit cell a=5.0877 b=5.0877 c=13.0845 alpha=90.00 beta=90.00 gamma=90.00
Closest atoms and distances in Å follow each position.
Element x y z (fractional)
K (0.5000, 0.0000, 0.2523)  6 Hg 3.89-4.12, 8 Tl 3.90-4.17, 2 In 4.12
K (0.0000, 0.5000, 0.7477)  6 Hg 3.89-4.12, 8 Tl 3.90-4.17, 2 In 4.12
Tl (0.5000, 0.5000, 0.0000)  4 Hg 3.13
Tl (0.0000, 0.0000, 0.0000)  4 Hg 3.13
Tl (0.5000, 0.0000, 0.6333)  3 Hg 2.98-3.08, 2 In 3.08
Tl (0.0000, 0.5000, 0.3667)  3 Hg 2.98-3.08, 2 In 3.08
In (0.5000, 0.5000, 0.5000)  4 Tl 3.08
Hg (0.0000, 0.0000, 0.5000)  4 Tl 3.08
Hg (0.5000, 0.0000, 0.8611)  5 Tl 2.98-3.13
Hg (0.0000, 0.5000, 0.1389)  5 Tl 2.98-3.13

***

[4]
Computed, not measured: YHoTeSe after structural relaxation at the PBE level of DFT.

The value obtained for the raw total energy is -5.9807 eV/atom. For the formation energy from raw total energies, the calculation gives -1564 meV per atom.

Unit cell a=4.0992 b=4.1000 c=7.6365 alpha=90.00 beta=105.57 gamma=120.00
Closest atoms and distances in Å follow each position.
Element x y z (fractional)
Y (0.4895, 0.1427, 0.6475)  3 Se 2.89, 3 Te 3.15
Ho (0.1148, 0.9554, 0.0853)  3 Se 2.82, 3 Te 3.10
Te (0.9658, 0.3809, 0.3619)  3 Ho 3.10, 3 Y 3.15
Se (0.3078, 0.5518, 0.8749)  3 Ho 2.82, 3 Y 2.89

***

[5]
Computed, not measured: Hg2SbCl8 after structural relaxation at the PBE level of DFT.

The value obtained for the raw total energy is -2.3419 eV/atom. For the formation energy from raw total energies, the calculation gives -569 meV per atom.

Unit cell a=3.8695 b=9.1507 c=10.7329 alpha=92.29 beta=100.39 gamma=90.00
Closest atoms and distances in Å follow each position.
Element x y z (fractional)
Hg (0.1738, 0.5647, 0.3476)  5 Cl 2.57-2.78
Hg (0.8262, 0.4353, 0.6524)  5 Cl 2.57-2.78
Sb (0.5000, 0.0000, 0.0000)  6 Cl 2.44-2.64
Cl (0.5950, 0.5199, 0.1899)  2 Hg 2.57
Cl (0.3853, 0.0233, 0.7706)  1 Sb 2.44
Cl (0.2487, 0.3213, 0.4973)  3 Hg 2.72-2.78
Cl (0.9886, 0.8043, 0.9772)  2 Sb 2.64
Cl (0.7513, 0.6787, 0.5027)  3 Hg 2.72-2.78
Cl (0.6147, 0.9767, 0.2294)  1 Sb 2.44
Cl (0.4050, 0.4801, 0.8101)  2 Hg 2.57
Cl (0.0114, 0.1957, 0.0228)  2 Sb 2.64

***

[6]
Computed, not measured: Pr6Sn2Au after structural relaxation at the PBE level of DFT.

The value obtained for the raw total energy is -4.9154 eV/atom. The energy of formation comes out at -413 kJ/mol of formula units.

Unit cell a=6.4307 b=8.7529 c=10.4647 alpha=90.00 beta=89.20 gamma=90.00
Closest atoms and distances in Å follow each position.
Element x y z (fractional)
Pr (0.8790, 0.9669, 0.2291)  1 Au 2.96, 1 Sn 3.32
Pr (0.8724, 0.6665, 0.5510)  1 Au 3.08, 2 Sn 3.28-3.30
Pr (0.8902, 0.6839, 0.9481)  1 Au 3.02, 2 Sn 3.34-3.36
Pr (0.6098, 0.1839, 0.5519)  1 Au 3.02, 2 Sn 3.34-3.36
Pr (0.6276, 0.1665, 0.9490)  1 Au 3.08, 2 Sn 3.28-3.30
Pr (0.6210, 0.4669, 0.2709)  1 Au 2.96, 1 Sn 3.32
Pr (0.1210, 0.0331, 0.7709)  1 Au 2.96, 1 Sn 3.32
Pr (0.1276, 0.3335, 0.4490)  1 Au 3.08, 2 Sn 3.28-3.30
Pr (0.1098, 0.3161, 0.0519)  1 Au 3.02, 2 Sn 3.34-3.36
Pr (0.3902, 0.8161, 0.4481)  1 Au 3.02, 2 Sn 3.34-3.36
Pr (0.3724, 0.8335, 0.0510)  1 Au 3.08, 2 Sn 3.28-3.30
Pr (0.3790, 0.5331, 0.7291)  1 Au 2.96, 1 Sn 3.32
Sn (0.9079, 0.3806, 0.7517)  9 Pr 3.28-3.66
Sn (0.5921, 0.8806, 0.7483)  9 Pr 3.28-3.66
Sn (0.4079, 0.1194, 0.2517)  9 Pr 3.28-3.66
Sn (0.0921, 0.6194, 0.2483)  9 Pr 3.28-3.66
Au (0.5000, 0.5000, 0.0000)  6 Pr 2.96-3.08
Au (0.0000, 0.0000, 0.5000)  6 Pr 2.96-3.08

***

[7]
Computed, not measured: Pr2ScAs3Rh12 after structural relaxation at the PBE level of DFT.

The value obtained for the raw total energy is -6.8350 eV/atom. The energy of formation comes out at -480 kJ/mol of formula units.

Unit cell a=6.8173 b=6.8173 c=6.8173 alpha=83.86 beta=83.86 gamma=83.86
Closest atoms and distances in Å follow each position.
Element x y z (fractional)
Pr (0.6444, 0.6444, 0.6444)  3 Rh 2.66
Pr (0.3556, 0.3556, 0.3556)  3 Rh 2.66
Sc (0.0000, 0.0000, 0.0000)  6 Rh 2.61
As (0.5000, 0.0000, 0.0000)  6 Rh 2.39-2.67
As (0.0000, 0.5000, 0.0000)  6 Rh 2.39-2.67
As (0.0000, 0.0000, 0.5000)  6 Rh 2.39-2.67
Rh (0.3786, 0.3786, 0.8972)  1 Rh 2.62, 2 As 2.67
Rh (0.8184, 0.8184, 0.3128)  1 As 2.39, 1 Sc 2.61, 3 Rh 2.62-2.64, 1 Pr 2.66
Rh (0.3128, 0.8184, 0.8184)  1 As 2.39, 1 Sc 2.61, 3 Rh 2.62-2.64, 1 Pr 2.66
Rh (0.8972, 0.3786, 0.3786)  1 Rh 2.62, 2 As 2.67
Rh (0.8184, 0.3128, 0.8184)  1 As 2.39, 1 Sc 2.61, 3 Rh 2.62-2.64, 1 Pr 2.66
Rh (0.3786, 0.8972, 0.3786)  1 Rh 2.62, 2 As 2.67
Rh (0.6214, 0.6214, 0.1028)  1 Rh 2.62, 2 As 2.67
Rh (0.1816, 0.1816, 0.6872)  1 As 2.39, 1 Sc 2.61, 3 Rh 2.62-2.64, 1 Pr 2.66
Rh (0.6872, 0.1816, 0.1816)  1 As 2.39, 1 Sc 2.61, 3 Rh 2.62-2.64, 1 Pr 2.66
Rh (0.1028, 0.6214, 0.6214)  1 Rh 2.62, 2 As 2.67
Rh (0.1816, 0.6872, 0.1816)  1 As 2.39, 1 Sc 2.61, 3 Rh 2.62-2.64, 1 Pr 2.66
Rh (0.6214, 0.1028, 0.6214)  1 Rh 2.62, 2 As 2.67

***

[8]
Computed, not measured: DyMg2Pb3 after structural relaxation at the PBE level of DFT.

Its energy above the most stable polymorph in this dataset is 0.046 eV per atom. The value obtained for the raw total energy is -3.3386 eV/atom. The energy of formation comes out at -108 kJ/mol of formula units.

Unit cell a=4.7470 b=6.9827 c=9.8251 alpha=90.00 beta=90.00 gamma=90.00
Closest atoms and distances in Å follow each position.
Element x y z (fractional)
Dy (0.0000, 0.9092, 0.9434)  7 Pb 3.22-3.60, 1 Mg 3.46
Dy (0.0000, 0.4092, 0.0566)  7 Pb 3.22-3.60, 1 Mg 3.46
Mg (0.0000, 0.9100, 0.2959)  5 Pb 3.00-3.13
Mg (0.5000, 0.1572, 0.4995)  6 Pb 3.11-3.29
Mg (0.0000, 0.4100, 0.7041)  5 Pb 3.00-3.13
Mg (0.5000, 0.6572, 0.5005)  6 Pb 3.11-3.29
Pb (0.5000, 0.1376, 0.1652)  3 Mg 3.13-3.29, 2 Pb 3.20-3.28, 2 Dy 3.22
Pb (0.5000, 0.1800, 0.8324)  3 Mg 3.13-3.27, 2 Pb 3.20-3.28, 2 Dy 3.22
Pb (0.0000, 0.4074, 0.3989)  5 Mg 3.00-3.11
Pb (0.5000, 0.6376, 0.8348)  3 Mg 3.13-3.29, 2 Pb 3.20-3.28, 2 Dy 3.22
Pb (0.5000, 0.6800, 0.1676)  3 Mg 3.13-3.27, 2 Pb 3.20-3.28, 2 Dy 3.22
Pb (0.0000, 0.9074, 0.6011)  5 Mg 3.00-3.11

***

[9]
Computed, not measured: PmZrAlCu after structural relaxation at the PBE level of DFT.

The value obtained for the raw total energy is -5.4241 eV/atom. The energy of formation comes out at -54 kJ/mol of formula units.

Unit cell a=4.9423 b=4.9423 c=4.9423 alpha=60.00 beta=60.00 gamma=60.00
Closest atoms and distances in Å follow each position.
Element x y z (fractional)
Al (0.7500, 0.7500, 0.7500)  4 Zr 3.03, 4 Pm 3.03
Cu (0.2500, 0.2500, 0.2500)  4 Zr 3.03, 4 Pm 3.03
Zr (0.5000, 0.5000, 0.5000)  4 Al 3.03, 4 Cu 3.03
Pm (0.0000, 0.0000, 0.0000)  4 Cu 3.03, 4 Al 3.03

***

[10]
Computed, not measured: CaAg2Sb2 after structural relaxation at the PBE level of DFT.

The value obtained for the raw total energy is -3.4145 eV/atom. For the formation energy from raw total energies, the calculation gives -225 meV per atom.

Unit cell a=7.5064 b=7.5064 c=6.3258 alpha=114.05 beta=114.05 gamma=97.68
Closest atoms and distances in Å follow each position.
Element x y z (fractional)
Ca (0.1449, 0.8551, 0.2500)  4 Sb 3.12-3.35, 2 Ag 3.43
Ca (0.8551, 0.1449, 0.7500)  4 Sb 3.12-3.35, 2 Ag 3.43
Ag (0.8140, 0.5003, 0.5384)  4 Sb 2.78-2.86, 2 Ag 2.99-3.02
Ag (0.4997, 0.1860, 0.9616)  4 Sb 2.78-2.86, 2 Ag 2.99-3.02
Ag (0.5003, 0.8140, 0.0384)  4 Sb 2.78-2.86, 2 Ag 2.99-3.02
Ag (0.1860, 0.4997, 0.4616)  4 Sb 2.78-2.86, 2 Ag 2.99-3.02
Sb (0.4411, 0.5589, 0.2500)  4 Ag 2.83-2.86
Sb (0.8690, 0.1310, 0.2500)  4 Ag 2.78-2.83
Sb (0.1310, 0.8690, 0.7500)  4 Ag 2.78-2.83
Sb (0.5589, 0.4411, 0.7500)  4 Ag 2.83-2.86

***

[11]
Computed, not measured: OsPt3 after structural relaxation at the PBE level of DFT.

The value obtained for the raw total energy is -7.0621 eV/atom. The energy of formation comes out at 107 kJ/mol of formula units.

Unit cell a=4.8089 b=4.8089 c=2.7011 alpha=90.00 beta=90.00 gamma=90.00
Closest atoms and distances in Å follow each position.
Element x y z (fractional)
Os (0.0000, 0.0000, 0.0000)  2 Os 2.70, 8 Pt 2.76
Pt (0.0000, 0.5000, 0.5000)  6 Pt 2.70-2.76, 4 Os 2.76
Pt (0.5000, 0.0000, 0.5000)  6 Pt 2.70-2.76, 4 Os 2.76
Pt (0.5000, 0.5000, 0.0000)  10 Pt 2.70-2.76

***

[12]
Computed, not measured: CdFeRe after structural relaxation at the PBE level of DFT.

Its energy above the most stable polymorph in this dataset is 0.000 eV per atom. The value obtained for the raw total energy is -6.9525 eV/atom. The energy of formation comes out at 93 kJ/mol of formula units.

Unit cell a=6.0827 b=6.0827 c=6.0827 alpha=153.14 beta=153.14 gamma=38.35
Closest atoms and distances in Å follow each position.
Element x y z (fractional)
Cd (0.9935, 0.9935, 0.0000)  4 Cd 2.83, 4 Fe 2.87, 4 Re 3.03
Fe (0.3148, 0.3148, 0.0000)  4 Re 2.45
Re (0.6917, 0.6917, 0.0000)  4 Fe 2.45

***

no.,magnetization (μB per formula unit)
1,0.0
2,0.0
3,0.0
4,0.0
5,0.9
6,0.0
7,0.0
8,0.0
9,0.3
10,0.0
11,0.5
12,0.7